First-principles (PBE-GGA) data for Nd2Pu2In3 after structural relaxation, as listed in Alexandria via LeMat-Bulk.

Lattice parameters (Å, degrees): 11.8329 11.8329 3.4284 90.00 90.00 156.45
With the nearest neighbours (Å) after each atom.
Sites, in units of the cell vectors:
Nd (0.0752, 0.9248, 0.0000)  1 Pu 3.24, 3 Nd 3.43-3.48, 8 In 3.44-3.45
Nd (0.9248, 0.0752, 0.0000)  1 Pu 3.24, 3 Nd 3.43-3.48, 8 In 3.44-3.45
Pu (0.2151, 0.7849, 0.0000)  2 Pu 2.91, 1 Nd 3.24
Pu (0.7849, 0.2151, 0.0000)  2 Pu 2.91, 1 Nd 3.24
In (0.3481, 0.6519, 0.5000)  6 Pu 3.30-3.53, 3 In 3.43-3.52, 4 Nd 3.45
In (0.5000, 0.5000, 0.5000)  4 In 3.43-3.52, 8 Nd 3.44
In (0.6519, 0.3481, 0.5000)  6 Pu 3.30-3.53, 3 In 3.43-3.52, 4 Nd 3.45

Summary:
energy = -48.13 eV/cell
density of states at the Fermi level = 2.17 states/eV per atom
space-group type = Cmmm
calculated volume = 27.40 Å³/atom

***

First-principles (PBE-GGA) data for MnCd2TeAu after structural relaxation, as listed in Alexandria via LeMat-Bulk.

Lattice parameters (Å, degrees): 5.6677 5.6677 4.9575 90.00 90.00 90.00
With the nearest neighbours (Å) after each atom.
Sites, in units of the cell vectors:
Mn (0.0000, 0.0000, 0.0000)  2 Te 2.48
Cd (0.0000, 0.5000, 0.5000)  2 Te 2.83
Cd (0.5000, 0.0000, 0.5000)  2 Te 2.83
Te (0.0000, 0.0000, 0.5000)  2 Mn 2.48
Au (0.5000, 0.5000, 0.0000)  8 Cd 3.76, 4 Mn 4.01

Summary:
density of states at the Fermi level = 0.67 states/eV per atom
formation energy from raw total energies = 69.38 kJ/mol of atoms
space-group type = P4/mmm
calculated volume = 31.85 Å³/atom

***

First-principles (PBE-GGA) data for La6Pd2S after structural relaxation, as listed in Alexandria via LeMat-Bulk.

Lattice parameters (Å, degrees): 6.8823 7.5907 12.5882 90.00 121.85 90.00
With the nearest neighbours (Å) after each atom.
Sites, in units of the cell vectors:
La (0.0868, 0.1819, 0.4280)  1 S 2.85, 2 Pd 3.01-3.10
La (0.0868, 0.3181, 0.9280)  1 S 2.85, 2 Pd 3.01-3.10
La (0.2615, 0.6701, 0.4314)  1 S 2.87, 2 Pd 3.06-3.08
La (0.2615, 0.8299, 0.9314)  1 S 2.87, 2 Pd 3.06-3.08
La (0.4057, 0.0377, 0.2497)  1 S 2.88, 2 Pd 3.01-3.07
La (0.4057, 0.4623, 0.7497)  1 S 2.88, 2 Pd 3.01-3.07
La (0.5943, 0.5377, 0.2503)  1 S 2.88, 2 Pd 3.01-3.07
La (0.5943, 0.9623, 0.7503)  1 S 2.88, 2 Pd 3.01-3.07
La (0.7385, 0.1701, 0.0686)  1 S 2.87, 2 Pd 3.06-3.08
La (0.7385, 0.3299, 0.5686)  1 S 2.87, 2 Pd 3.06-3.08
La (0.9132, 0.6819, 0.0720)  1 S 2.85, 2 Pd 3.01-3.10
La (0.9132, 0.8181, 0.5720)  1 S 2.85, 2 Pd 3.01-3.10
Pd (0.1770, 0.1200, 0.7426)  6 La 3.01-3.10
Pd (0.1770, 0.3800, 0.2426)  6 La 3.01-3.10
Pd (0.8230, 0.6200, 0.7574)  6 La 3.01-3.10
Pd (0.8230, 0.8800, 0.2574)  6 La 3.01-3.10
S (0.5000, 0.0000, 0.5000)  6 La 2.85-2.88
S (0.5000, 0.5000, 0.0000)  6 La 2.85-2.88

Summary:
density of states at the Fermi level = 1.25 states/eV per atom
formation energy from raw total energies = -76.15 kJ/mol of atoms
space-group type = P2_1/c
calculated volume = 31.03 Å³/atom

***

First-principles (PBE-GGA) data for YTeIO2 after structural relaxation, as listed in Alexandria via LeMat-Bulk.

Lattice parameters (Å, degrees): 4.2693 4.2693 6.2732 90.00 90.00 90.00
With the nearest neighbours (Å) after each atom.
Sites, in units of the cell vectors:
Y (0.0000, 0.0000, 0.0000)  4 I 3.02
Te (0.5000, 0.5000, 0.5000)  4 O 2.13
I (0.5000, 0.5000, 0.0000)  4 Y 3.02, 2 Te 3.14
O (0.0000, 0.5000, 0.5000)  2 Te 2.13
O (0.5000, 0.0000, 0.5000)  2 Te 2.13

Summary:
density of states at the Fermi level = 0.73 states/eV per atom
formation energy from raw total energies = -41.54 kJ/mol of atoms
space-group type = P4/mmm
calculated volume = 22.87 Å³/atom

***

First-principles (PBE-GGA) data for CaScMn2 after structural relaxation, as listed in Alexandria via LeMat-Bulk.

Lattice parameters (Å, degrees): 9.7603 9.7603 9.7603 18.94 18.94 18.94
With the nearest neighbours (Å) after each atom.
Sites, in units of the cell vectors:
Ca (0.0000, 0.0000, 0.0000)  6 Mn 3.18, 6 Ca 3.21
Sc (0.5000, 0.5000, 0.5000)  6 Mn 2.88, 6 Sc 3.21
Mn (0.2433, 0.2433, 0.2433)  3 Sc 2.88, 3 Ca 3.18, 6 Mn 3.21
Mn (0.7567, 0.7567, 0.7567)  3 Sc 2.88, 3 Ca 3.18, 6 Mn 3.21

Summary:
energy = -24.53 eV/cell
density of states at the Fermi level = 1.16 states/eV per atom
space-group type = R-3m
calculated volume = 21.40 Å³/atom

***

First-principles (PBE-GGA) data for LiDyAlPd after structural relaxation, as listed in Alexandria via LeMat-Bulk.

Lattice parameters (Å, degrees): 3.9708 6.2861 6.2861 28.44 90.00 90.00
With the nearest neighbours (Å) after each atom.
Sites, in units of the cell vectors:
Li (0.0000, 0.0000, 0.0000)  2 Al 2.44, 4 Pd 2.66
Dy (0.0000, 0.7699, 0.7699)  1 Li 2.80, 2 Dy 3.09, 4 Al 3.13
Al (0.5000, 0.1169, 0.1169)  2 Li 2.44
Pd (0.5000, 0.4301, 0.4301)  4 Li 2.66, 2 Al 2.75

Summary:
energy = -16.86 eV/cell
density of states at the Fermi level = 0.45 states/eV per atom
space-group type = Amm2
calculated volume = 18.68 Å³/atom